Entry 1:
# PrNd6Sm12, optimized geometry, DFT PBE-GGA
# DOS at the Fermi energy ... 29.7 states/eV/cell
# Energy above the most stable polymorph in this dataset ... 0 meV/atom
# Electronic total energy ... -4.60 eV per atom
# Formation enthalpy at 0 K ... 0.136 eV per atom
data_PrNd6Sm12
_cell_length_a 8.721
_cell_length_b 8.721
_cell_length_c 8.721
_cell_angle_alpha 89.20
_cell_angle_beta 89.20
_cell_angle_gamma 89.20
_symmetry_space_group_name_H-M 'P 1'
_symmetry_Int_Tables_number 1
loop_
_symmetry_equiv_pos_as_xyz
'x,y,z'
loop_
_atom_site_label
_atom_site_fract_x
_atom_site_fract_y
_atom_site_fract_z
_atom_site_occupancy
Pr1 0.000 0.000 0.000 1
Nd1 0.739 0.906 0.306 1
Nd2 0.694 0.261 0.094 1
Nd3 0.094 0.694 0.261 1
Nd4 0.261 0.094 0.694 1
Nd5 0.306 0.739 0.906 1
Nd6 0.906 0.306 0.739 1
Sm1 0.777 0.537 0.436 1
Sm2 0.436 0.777 0.537 1
Sm3 0.537 0.436 0.777 1
Sm4 0.223 0.463 0.564 1
Sm5 0.564 0.223 0.463 1
Sm6 0.463 0.564 0.223 1
Sm7 0.016 0.198 0.359 1
Sm8 0.802 0.641 0.984 1
Sm9 0.641 0.984 0.802 1
Sm10 0.984 0.802 0.641 1
Sm11 0.198 0.359 0.016 1
Sm12 0.359 0.016 0.198 1

=====

Entry 2:
# PrNd2Sm3, optimized geometry, DFT PBE-GGA
# DOS at the Fermi energy ... 18.0 states/eV/cell
# Energy above the most stable polymorph in this dataset ... 0 meV/atom
# Electronic total energy ... -4.69 eV per atom
# Formation enthalpy at 0 K ... 0.057 eV per atom
data_PrNd2Sm3
_cell_length_a 9.169
_cell_length_b 6.799
_cell_length_c 6.799
_cell_angle_alpha 95.19
_cell_angle_beta 82.32
_cell_angle_gamma 82.32
_symmetry_space_group_name_H-M 'P 1'
_symmetry_Int_Tables_number 1
loop_
_symmetry_equiv_pos_as_xyz
'x,y,z'
loop_
_atom_site_label
_atom_site_fract_x
_atom_site_fract_y
_atom_site_fract_z
_atom_site_occupancy
Pr1 0.750 0.915 0.085 1
Pr2 0.250 0.085 0.915 1
Nd1 0.626 0.127 0.624 1
Nd2 0.126 0.624 0.127 1
Nd3 0.874 0.376 0.873 1
Nd4 0.374 0.873 0.376 1
Sm1 0.250 0.418 0.582 1
Sm2 0.750 0.582 0.418 1
Sm3 0.999 0.835 0.667 1
Sm4 0.501 0.333 0.165 1
Sm5 0.499 0.667 0.835 1
Sm6 0.001 0.165 0.333 1

=====

Entry 3:
# Pr4NdSm3, optimized geometry, DFT PBE-GGA
# DOS at the Fermi energy ... 28.1 states/eV/cell
# Energy above the most stable polymorph in this dataset ... 19 meV/atom
# Electronic total energy ... -4.72 eV per atom
# Formation enthalpy at 0 K ... 0.033 eV per atom
data_Pr4NdSm3
_cell_length_a 6.412
_cell_length_b 7.419
_cell_length_c 11.935
_cell_angle_alpha 90.00
_cell_angle_beta 90.00
_cell_angle_gamma 90.00
_symmetry_space_group_name_H-M 'P 1'
_symmetry_Int_Tables_number 1
loop_
_symmetry_equiv_pos_as_xyz
'x,y,z'
loop_
_atom_site_label
_atom_site_fract_x
_atom_site_fract_y
_atom_site_fract_z
_atom_site_occupancy
Pr1 0.982 0.873 0.000 1
Pr2 0.481 0.127 0.000 1
Pr3 0.147 0.127 0.251 1
Pr4 0.647 0.873 0.249 1
Pr5 0.981 0.873 0.500 1
Pr6 0.482 0.127 0.500 1
Pr7 0.647 0.873 0.751 1
Pr8 0.147 0.127 0.749 1
Nd1 0.980 0.377 0.000 1
Nd2 0.480 0.623 0.500 1
Sm1 0.480 0.623 0.000 1
Sm2 0.149 0.623 0.250 1
Sm3 0.649 0.377 0.250 1
Sm4 0.980 0.377 0.500 1
Sm5 0.649 0.377 0.750 1
Sm6 0.149 0.623 0.750 1

=====

Entry 4:
# PrNd8Sm4, optimized geometry, DFT PBE-GGA
# DOS at the Fermi energy ... 26.4 states/eV/cell
# Electronic total energy ... -4.35 eV per atom
# Formation enthalpy at 0 K ... 0.401 eV per atom
data_PrNd8Sm4
_cell_length_a 11.902
_cell_length_b 11.902
_cell_length_c 7.917
_cell_angle_alpha 90.00
_cell_angle_beta 138.74
_cell_angle_gamma 120.00
_symmetry_space_group_name_H-M 'P 1'
_symmetry_Int_Tables_number 1
loop_
_symmetry_equiv_pos_as_xyz
'x,y,z'
loop_
_atom_site_label
_atom_site_fract_x
_atom_site_fract_y
_atom_site_fract_z
_atom_site_occupancy
Pr1 0.000 0.500 0.500 1
Nd1 0.517 0.758 0.275 1
Nd2 0.483 0.242 0.725 1
Nd3 0.332 0.166 0.001 1
Nd4 0.165 0.330 0.999 1
Nd5 0.668 0.834 0.999 1
Nd6 0.165 0.834 0.999 1
Nd7 0.835 0.166 0.001 1
Nd8 0.835 0.670 0.001 1
Sm1 0.000 0.000 0.000 1
Sm2 0.000 0.500 0.000 1
Sm3 0.500 0.500 0.000 1
Sm4 0.500 0.000 0.000 1

=====

Entry 5:
# PrNdSm, optimized geometry, DFT PBE-GGA
# DOS at the Fermi energy ... 4.0 states/eV/cell
# Energy above the most stable polymorph in this dataset ... 4 meV/atom
# Electronic total energy ... -4.74 eV per atom
# Formation enthalpy at 0 K ... 0.015 eV per atom
data_PrNdSm
_cell_length_a 3.693
_cell_length_b 3.695
_cell_length_c 9.206
_cell_angle_alpha 78.25
_cell_angle_beta 90.00
_cell_angle_gamma 60.02
_symmetry_space_group_name_H-M 'P 1'
_symmetry_Int_Tables_number 1
loop_
_symmetry_equiv_pos_as_xyz
'x,y,z'
loop_
_atom_site_label
_atom_site_fract_x
_atom_site_fract_y
_atom_site_fract_z
_atom_site_occupancy
Pr1 0.091 0.240 0.616 1
Nd1 0.650 0.122 0.276 1
Sm1 0.871 0.680 0.948 1

=====

Entry 6:
# Pr7Nd3Sm2, optimized geometry, DFT PBE-GGA
# DOS at the Fermi energy ... 17.2 states/eV/cell
# Energy above the most stable polymorph in this dataset ... 15 meV/atom
# Electronic total energy ... -4.68 eV per atom
# Formation enthalpy at 0 K ... 0.083 eV per atom
data_Pr7Nd3Sm2
_cell_length_a 3.665
_cell_length_b 6.043
_cell_length_c 19.490
_cell_angle_alpha 93.25
_cell_angle_beta 90.00
_cell_angle_gamma 90.00
_symmetry_space_group_name_H-M 'P 1'
_symmetry_Int_Tables_number 1
loop_
_symmetry_equiv_pos_as_xyz
'x,y,z'
loop_
_atom_site_label
_atom_site_fract_x
_atom_site_fract_y
_atom_site_fract_z
_atom_site_occupancy
Pr1 0.500 0.743 0.464 1
Pr2 0.500 0.257 0.536 1
Pr3 0.000 0.682 0.145 1
Pr4 0.000 0.000 0.000 1
Pr5 0.000 0.318 0.855 1
Pr6 0.500 0.815 0.820 1
Pr7 0.500 0.185 0.180 1
Nd1 0.500 0.500 0.000 1
Nd2 0.000 0.220 0.367 1
Nd3 0.000 0.780 0.633 1
Sm1 0.500 0.710 0.296 1
Sm2 0.500 0.290 0.704 1

=====

Entry 7:
# Pr6NdSm6, optimized geometry, DFT PBE-GGA
# DOS at the Fermi energy ... 25.5 states/eV/cell
# Electronic total energy ... -4.49 eV per atom
# Formation enthalpy at 0 K ... 0.265 eV per atom
data_Pr6NdSm6
_cell_length_a 6.812
_cell_length_b 6.812
_cell_length_c 11.644
_cell_angle_alpha 90.00
_cell_angle_beta 90.00
_cell_angle_gamma 120.00
_symmetry_space_group_name_H-M 'P 1'
_symmetry_Int_Tables_number 1
loop_
_symmetry_equiv_pos_as_xyz
'x,y,z'
loop_
_atom_site_label
_atom_site_fract_x
_atom_site_fract_y
_atom_site_fract_z
_atom_site_occupancy
Pr1 0.000 0.500 0.751 1
Pr2 0.500 0.000 0.751 1
Pr3 0.500 0.500 0.751 1
Pr4 0.500 0.000 0.249 1
Pr5 0.000 0.500 0.249 1
Pr6 0.500 0.500 0.249 1
Nd1 0.000 0.000 0.000 1
Sm1 0.000 0.000 0.645 1
Sm2 0.000 0.000 0.355 1
Sm3 0.333 0.667 0.000 1
Sm4 0.667 0.333 0.000 1
Sm5 0.333 0.667 0.500 1
Sm6 0.667 0.333 0.500 1

=====

Entry 8:
# PrNd8Sm6, optimized geometry, DFT PBE-GGA
# DOS at the Fermi energy ... 22.2 states/eV/cell
# Electronic total energy ... -4.63 eV per atom
# Formation enthalpy at 0 K ... 0.117 eV per atom
data_PrNd8Sm6
_cell_length_a 9.290
_cell_length_b 9.290
_cell_length_c 8.847
_cell_angle_alpha 58.33
_cell_angle_beta 58.33
_cell_angle_gamma 60.00
_symmetry_space_group_name_H-M 'P 1'
_symmetry_Int_Tables_number 1
loop_
_symmetry_equiv_pos_as_xyz
'x,y,z'
loop_
_atom_site_label
_atom_site_fract_x
_atom_site_fract_y
_atom_site_fract_z
_atom_site_occupancy
Pr1 0.000 0.000 0.000 1
Nd1 0.887 0.283 0.578 1
Nd2 0.749 0.113 0.422 1
Nd3 0.717 0.749 0.422 1
Nd4 0.423 0.423 0.732 1
Nd5 0.577 0.577 0.268 1
Nd6 0.283 0.251 0.578 1
Nd7 0.251 0.887 0.578 1
Nd8 0.113 0.717 0.422 1
Sm1 0.099 0.537 0.121 1
Sm2 0.757 0.901 0.879 1
Sm3 0.463 0.757 0.879 1
Sm4 0.537 0.243 0.121 1
Sm5 0.243 0.099 0.121 1
Sm6 0.901 0.463 0.879 1